1.
## Pr3H12Ru5 (PBE-GGA)

Data for an optimized crystal structure of Pr3H12Ru5.

```
Pr3H12Ru5
1.0
-5.8919 5.8919 5.8919
5.8919 -5.8919 5.8919
5.8919 5.8919 -5.8919
Pr H Ru
12 48 20
direct
0.1250 0.2500 0.3750 Pr
0.1250 0.3750 0.7500 Pr
0.2500 0.3750 0.1250 Pr
0.2500 0.8750 0.6250 Pr
0.3750 0.1250 0.2500 Pr
0.3750 0.7500 0.1250 Pr
0.6250 0.2500 0.8750 Pr
0.6250 0.8750 0.7500 Pr
0.7500 0.1250 0.3750 Pr
0.7500 0.6250 0.8750 Pr
0.8750 0.6250 0.2500 Pr
0.8750 0.7500 0.6250 Pr
0.0093 0.1872 0.0951 H
0.0093 0.3221 0.9143 H
0.0857 0.5951 0.4079 H
0.0857 0.9907 0.6779 H
0.0921 0.6872 0.6779 H
0.0921 0.9049 0.4143 H
0.0951 0.0093 0.1872 H
0.0951 0.5857 0.9079 H
0.1779 0.1872 0.5921 H
0.1779 0.4907 0.5857 H
0.1872 0.0951 0.0093 H
0.1872 0.5921 0.1779 H
0.3128 0.3221 0.9079 H
0.3128 0.4907 0.4049 H
0.3221 0.9079 0.3128 H
0.3221 0.9143 0.0093 H
0.4049 0.3128 0.4907 H
0.4049 0.5921 0.9143 H
0.4079 0.0857 0.5951 H
0.4079 0.8221 0.8128 H
0.4143 0.0921 0.9049 H
0.4143 0.8221 0.5093 H
0.4907 0.4049 0.3128 H
0.4907 0.5857 0.1779 H
0.5093 0.4143 0.8221 H
0.5093 0.5951 0.6872 H
0.5857 0.1779 0.4907 H
0.5857 0.9079 0.0951 H
0.5921 0.1779 0.1872 H
0.5921 0.9143 0.4049 H
0.5951 0.4079 0.0857 H
0.5951 0.6872 0.5093 H
0.6779 0.0857 0.9907 H
0.6779 0.0921 0.6872 H
0.6872 0.5093 0.5951 H
0.6872 0.6779 0.0921 H
0.8128 0.4079 0.8221 H
0.8128 0.9049 0.9907 H
0.8221 0.5093 0.4143 H
0.8221 0.8128 0.4079 H
0.9049 0.4143 0.0921 H
0.9049 0.9907 0.8128 H
0.9079 0.0951 0.5857 H
0.9079 0.3128 0.3221 H
0.9143 0.0093 0.3221 H
0.9143 0.4049 0.5921 H
0.9907 0.6779 0.0857 H
0.9907 0.8128 0.9049 H
0.0000 0.0000 0.0000 Ru
0.0000 0.0000 0.5000 Ru
0.0000 0.5000 0.0000 Ru
0.0000 0.5000 0.5000 Ru
0.1250 0.7500 0.8750 Ru
0.1250 0.8750 0.2500 Ru
0.2500 0.1250 0.8750 Ru
0.2500 0.6250 0.3750 Ru
0.3750 0.2500 0.6250 Ru
0.3750 0.6250 0.7500 Ru
0.5000 0.0000 0.0000 Ru
0.5000 0.0000 0.5000 Ru
0.5000 0.5000 0.0000 Ru
0.5000 0.5000 0.5000 Ru
0.6250 0.3750 0.2500 Ru
0.6250 0.7500 0.3750 Ru
0.7500 0.3750 0.6250 Ru
0.7500 0.8750 0.1250 Ru
0.8750 0.1250 0.7500 Ru
0.8750 0.2500 0.1250 Ru
```

Calculated values
Total DFT energy (no corrections): -417.2 eV per cell

***

2.
## Pr2HRu (PBE-GGA)

Data for an optimized crystal structure of Pr2HRu.

```
Pr2HRu
1.0
3.3664 0.0000 0.0000
0.0000 3.3664 0.0000
0.0000 0.0000 7.2618
Pr H Ru
2 1 1
direct
0.0000 0.0000 0.2488 Pr
0.0000 0.0000 0.7512 Pr
0.5000 0.5000 0.5000 H
0.5000 0.5000 0.0000 Ru
```

Calculated values
Total DFT energy (no corrections): -22.6 eV per cell
Polymorph energy (0 for the lowest one): 0.098 eV per atom

***

3.
## Pr2HRu (PBE-GGA)

Data for an optimized crystal structure of Pr2HRu.

```
Pr2HRu
1.0
2.0424 1.1792 6.1694
-2.0424 1.1792 6.1694
0.0000 -2.3583 6.1694
Pr H Ru
2 1 1
direct
0.2473 0.2473 0.2473 Pr
0.7527 0.7527 0.7527 Pr
0.5000 0.5000 0.5000 H
0.0000 0.0000 0.0000 Ru
```

Calculated values
Total DFT energy (no corrections): -22.7 eV per cell
Polymorph energy (0 for the lowest one): 0.077 eV per atom